Ho2TmMg3Tl2Hg: relaxed, GGA-PBE.

Properties
V: 24.7 Å³/atom
Energy: -26.50 eV/cell

```
Ho2TmMg3Tl2Hg
1.0
4.5802 0.0000 0.0000
0.0000 6.4675 3.7504
0.0000 -6.4675 3.7504
Tl Mg Hg Tm Ho
2 3 1 1 2
direct
0.5000 0.3336 0.6653
0.5000 0.6653 0.3336
0.5000 0.7619 0.7619
0.5000 0.9999 0.2386
0.5000 0.2386 0.9999
0.0000 0.0021 0.0021
0.0000 0.4217 0.4217
0.0000 0.9995 0.5773
0.0000 0.5773 0.9995
```